# 1
This record from Alexandria via LeMat-Bulk describes crystalline CdC3O at its relaxed geometry. The functional is PBE-GGA.

```
data_CdC3O
_chemical_formula_sum 'Cd1 C3 O1'
_symmetry_space_group_name_H-M 'P m -3 m'
_symmetry_Int_Tables_number 221
_symmetry_space_group_name_Hall '-P 4 2 3'
_cell_length_a 3.7809
_cell_length_b 3.7809
_cell_length_c 3.7809
_cell_angle_alpha 90.00
_cell_angle_beta 90.00
_cell_angle_gamma 90.00
loop_
_atom_site_label
_atom_site_type_symbol
_atom_site_fract_x
_atom_site_fract_y
_atom_site_fract_z
_atom_site_occupancy
Cd1 Cd 0.0000 0.0000 0.0000 1
C1 C 0.0000 0.5000 0.5000 1
O1 O 0.5000 0.5000 0.5000 1
```

Calculated values
Calculated total energy   -0.139 Ha/atom
Total magnetization   0.00 μB/cell
Volume   10.8 A^3/atom
Energy relative to the elements, uncorrected   14.7 eV/f.u.

=====

# 2
This record from Alexandria via LeMat-Bulk describes crystalline CdC3O at its relaxed geometry. The functional is PBE-GGA.

```
data_CdC3O
_chemical_formula_sum 'Cd1 C3 O1'
_symmetry_space_group_name_H-M 'P m -3 m'
_symmetry_Int_Tables_number 221
_symmetry_space_group_name_Hall '-P 4 2 3'
_cell_length_a 4.3195
_cell_length_b 4.3195
_cell_length_c 4.3195
_cell_angle_alpha 90.00
_cell_angle_beta 90.00
_cell_angle_gamma 90.00
loop_
_atom_site_label
_atom_site_type_symbol
_atom_site_fract_x
_atom_site_fract_y
_atom_site_fract_z
_atom_site_occupancy
Cd1 Cd 0.0000 0.0000 0.0000 1
C1 C 0.0000 0.0000 0.5000 1
O1 O 0.5000 0.5000 0.5000 1
```

Calculated values
Calculated total energy   -0.101 Ha/atom
Total magnetization   0.29 μB/cell
Volume   16.1 A^3/atom
Energy relative to the elements, uncorrected   19.8 eV/f.u.

=====

# 3
This record from Alexandria via LeMat-Bulk describes crystalline Cd3CO at its relaxed geometry. The functional is PBE-GGA.

```
data_Cd3CO
_chemical_formula_sum 'Cd3 C1 O1'
_symmetry_space_group_name_H-M 'P m -3 m'
_symmetry_Int_Tables_number 221
_symmetry_space_group_name_Hall '-P 4 2 3'
_cell_length_a 4.4099
_cell_length_b 4.4099
_cell_length_c 4.4099
_cell_angle_alpha 90.00
_cell_angle_beta 90.00
_cell_angle_gamma 90.00
loop_
_atom_site_label
_atom_site_type_symbol
_atom_site_fract_x
_atom_site_fract_y
_atom_site_fract_z
_atom_site_occupancy
Cd1 Cd 0.0000 0.0000 0.5000 1
C1 C 0.0000 0.0000 0.0000 1
O1 O 0.5000 0.5000 0.5000 1
```

Calculated values
Calculated total energy   -0.105 Ha/atom
Total magnetization   0.00 μB/cell
Volume   17.2 A^3/atom
Energy relative to the elements, uncorrected   2.6 eV/f.u.

=====

# 4
This record from Alexandria via LeMat-Bulk describes crystalline Cd2CO at its relaxed geometry. The functional is PBE-GGA.

```
data_Cd2CO
_chemical_formula_sum 'Cd8 C4 O4'
_symmetry_space_group_name_H-M 'F m -3 m'
_symmetry_Int_Tables_number 225
_symmetry_space_group_name_Hall '-F 4 2 3'
_cell_length_a 6.0342
_cell_length_b 6.0342
_cell_length_c 6.0342
_cell_angle_alpha 90.00
_cell_angle_beta 90.00
_cell_angle_gamma 90.00
loop_
_atom_site_label
_atom_site_type_symbol
_atom_site_fract_x
_atom_site_fract_y
_atom_site_fract_z
_atom_site_occupancy
Cd1 Cd 0.2500 0.2500 0.2500 1
C1 C 0.0000 0.0000 0.0000 1
O1 O 0.0000 0.0000 0.5000 1
```

Calculated values
Calculated total energy   -0.113 Ha/atom
Total magnetization   8.00 μB/cell
Volume   13.7 A^3/atom
Energy relative to the elements, uncorrected   3.7 eV/f.u.

=====

# 5
This record from Alexandria via LeMat-Bulk describes crystalline CdC2O4 at its relaxed geometry. The functional is PBE-GGA.

```
data_CdC2O4
_chemical_formula_sum 'Cd2 C4 O8'
_symmetry_space_group_name_H-M 'P 1 21/c 1'
_symmetry_Int_Tables_number 14
_cell_length_a 5.8997
_cell_length_b 5.4593
_cell_length_c 6.5865
_cell_angle_alpha 90.00
_cell_angle_beta 122.89
_cell_angle_gamma 90.00
loop_
_symmetry_equiv_pos_as_xyz
'x,y,z'
'-x,-y,-z'
'-x,y+1/2,-z+1/2'
'x,-y+1/2,z+1/2'
loop_
_atom_site_label
_atom_site_type_symbol
_atom_site_fract_x
_atom_site_fract_y
_atom_site_fract_z
_atom_site_occupancy
Cd1 Cd 0.0000 0.0000 0.0000 1
C1 C 0.4530 0.1134 0.9134 1
O1 O 0.2106 0.1870 0.8201 1
O2 O 0.3800 0.7122 0.6245 1
```

Calculated values
Calculated total energy   -0.249 Ha/atom
Total magnetization   0.00 μB/cell
Volume   12.7 A^3/atom
Energy relative to the elements, uncorrected   -8.2 eV/f.u.

=====

# 6
This record from Alexandria via LeMat-Bulk describes crystalline Cd2C2O7 at its relaxed geometry. The functional is PBE-GGA.

```
data_Cd2C2O7
_chemical_formula_sum 'Cd4 C4 O14'
_symmetry_space_group_name_H-M 'C 1 2/m 1'
_symmetry_Int_Tables_number 12
_cell_length_a 7.7014
_cell_length_b 8.4182
_cell_length_c 4.7356
_cell_angle_alpha 90.00
_cell_angle_beta 116.08
_cell_angle_gamma 90.00
loop_
_symmetry_equiv_pos_as_xyz
'x,y,z'
'-x,-y,-z'
'-x,y,-z'
'x,-y,z'
'x+1/2,y+1/2,z'
'-x+1/2,-y+1/2,-z'
'-x+1/2,y+1/2,-z'
'x+1/2,-y+1/2,z'
loop_
_atom_site_label
_atom_site_type_symbol
_atom_site_fract_x
_atom_site_fract_y
_atom_site_fract_z
_atom_site_occupancy
Cd1 Cd 0.0000 0.2142 0.0000 1
C1 C 0.2099 0.0000 0.6313 1
O1 O 0.0000 0.5000 0.5000 1
O2 O 0.1439 0.0000 0.3258 1
O3 O 0.2350 0.1346 0.7762 1
```

Calculated values
Calculated total energy   -0.216 Ha/atom
Total magnetization   4.12 μB/cell
Volume   12.5 A^3/atom
Energy relative to the elements, uncorrected   -9.7 eV/f.u.

=====

# 7
This record from Alexandria via LeMat-Bulk describes crystalline CdCO3 at its relaxed geometry. The functional is PBE-GGA.

```
data_CdCO3
_chemical_formula_sum 'Cd4 C4 O12'
_symmetry_space_group_name_H-M 'P n m a'
_symmetry_Int_Tables_number 62
_cell_length_a 5.8890
_cell_length_b 5.1383
_cell_length_c 7.5555
_cell_angle_alpha 90.00
_cell_angle_beta 90.00
_cell_angle_gamma 90.00
loop_
_symmetry_equiv_pos_as_xyz
'x,y,z'
'-x,-y,-z'
'-x+1/2,-y,z+1/2'
'x+1/2,y,-z+1/2'
'x+1/2,-y+1/2,-z+1/2'
'-x+1/2,y+1/2,z+1/2'
'-x,y+1/2,-z'
'x,-y+1/2,z'
loop_
_atom_site_label
_atom_site_type_symbol
_atom_site_fract_x
_atom_site_fract_y
_atom_site_fract_z
_atom_site_occupancy
Cd1 Cd 0.2342 0.2500 0.0944 1
C1 C 0.0835 0.2500 0.7282 1
O1 O 0.0830 0.2500 0.5594 1
O2 O 0.0937 0.0316 0.8183 1
```

Calculated values
Calculated total energy   -0.229 Ha/atom
Total magnetization   0.00 μB/cell
Volume   11.4 A^3/atom
Energy relative to the elements, uncorrected   -6.2 eV/f.u.

=====

# 8
This record from Alexandria via LeMat-Bulk describes crystalline CdCO2 at its relaxed geometry. The functional is PBE-GGA.

```
data_CdCO2
_chemical_formula_sum 'Cd3 C3 O6'
_symmetry_space_group_name_H-M 'R -3 m'
_symmetry_Int_Tables_number 166
_symmetry_space_group_name_Hall '-R 3 2"'
_cell_length_a 3.2667
_cell_length_b 3.2667
_cell_length_c 28.2719
_cell_angle_alpha 90.00
_cell_angle_beta 90.00
_cell_angle_gamma 120.00
loop_
_atom_site_label
_atom_site_type_symbol
_atom_site_fract_x
_atom_site_fract_y
_atom_site_fract_z
_atom_site_occupancy
Cd1 Cd 0.0000 0.0000 0.0000 1
C1 C 0.0000 0.0000 0.5000 1
O1 O 0.0000 0.0000 0.4583 1
```

Calculated values
Calculated total energy   -0.214 Ha/atom
Total magnetization   0.00 μB/cell
Volume   21.8 A^3/atom
Energy relative to the elements, uncorrected   -3.2 eV/f.u.

=====

# 9
This record from Alexandria via LeMat-Bulk describes crystalline CdCO3 at its relaxed geometry. The functional is PBE-GGA.

```
data_CdCO3
_chemical_formula_sum 'Cd3 C3 O9'
_symmetry_space_group_name_H-M 'R -3 m'
_symmetry_Int_Tables_number 166
_symmetry_space_group_name_Hall '-R 3 2"'
_cell_length_a 4.4375
_cell_length_b 4.4375
_cell_length_c 11.3962
_cell_angle_alpha 90.00
_cell_angle_beta 90.00
_cell_angle_gamma 120.00
loop_
_atom_site_label
_atom_site_type_symbol
_atom_site_fract_x
_atom_site_fract_y
_atom_site_fract_z
_atom_site_occupancy
Cd1 Cd 0.0000 0.0000 0.0000 1
C1 C 0.0000 0.0000 0.5000 1
O1 O 0.0000 0.5000 0.5000 1
```

Calculated values
Calculated total energy   -0.127 Ha/atom
Total magnetization   3.23 μB/cell
Volume   13.0 A^3/atom
Energy relative to the elements, uncorrected   7.7 eV/f.u.

=====

# 10
This record from Alexandria via LeMat-Bulk describes crystalline CdCO2 at its relaxed geometry. The functional is PBE-GGA.

```
data_CdCO2
_chemical_formula_sum 'Cd4 C4 O8'
_symmetry_space_group_name_H-M 'F m -3 m'
_symmetry_Int_Tables_number 225
_symmetry_space_group_name_Hall '-F 4 2 3'
_cell_length_a 5.5181
_cell_length_b 5.5181
_cell_length_c 5.5181
_cell_angle_alpha 90.00
_cell_angle_beta 90.00
_cell_angle_gamma 90.00
loop_
_atom_site_label
_atom_site_type_symbol
_atom_site_fract_x
_atom_site_fract_y
_atom_site_fract_z
_atom_site_occupancy
Cd1 Cd 0.0000 0.0000 0.0000 1
C1 C 0.0000 0.0000 0.5000 1
O1 O 0.2500 0.2500 0.2500 1
```

Calculated values
Calculated total energy   -0.140 Ha/atom
Total magnetization   0.00 μB/cell
Volume   10.5 A^3/atom
Energy relative to the elements, uncorrected   4.8 eV/f.u.

=====

# 11
This record from Alexandria via LeMat-Bulk describes crystalline CdPCO2 at its relaxed geometry. The functional is PBE-GGA.

```
data_CdPCO2
_chemical_formula_sum 'Cd1 P1 C1 O2'
_symmetry_space_group_name_H-M 'P 4/m m m'
_symmetry_Int_Tables_number 123
_symmetry_space_group_name_Hall '-P 4 2'
_cell_length_a 4.0909
_cell_length_b 4.0909
_cell_length_c 3.5103
_cell_angle_alpha 90.00
_cell_angle_beta 90.00
_cell_angle_gamma 90.00
loop_
_atom_site_label
_atom_site_type_symbol
_atom_site_fract_x
_atom_site_fract_y
_atom_site_fract_z
_atom_site_occupancy
Cd1 Cd 0.0000 0.0000 0.0000 1
P1 P 0.5000 0.5000 0.0000 1
C1 C 0.5000 0.5000 0.5000 1
O1 O 0.0000 0.5000 0.5000 1
```

Calculated values
Calculated total energy   -0.153 Ha/atom
Total magnetization   0.00 μB/cell
Volume   11.7 A^3/atom
Energy relative to the elements, uncorrected   4.6 eV/f.u.

=====

# 12
This record from Alexandria via LeMat-Bulk describes crystalline CdP2CO at its relaxed geometry. The functional is PBE-GGA.

```
data_CdP2CO
_chemical_formula_sum 'Cd1 P2 C1 O1'
_symmetry_space_group_name_H-M 'P 4/m m m'
_symmetry_Int_Tables_number 123
_symmetry_space_group_name_Hall '-P 4 2'
_cell_length_a 5.0106
_cell_length_b 5.0106
_cell_length_c 3.9829
_cell_angle_alpha 90.00
_cell_angle_beta 90.00
_cell_angle_gamma 90.00
loop_
_atom_site_label
_atom_site_type_symbol
_atom_site_fract_x
_atom_site_fract_y
_atom_site_fract_z
_atom_site_occupancy
Cd1 Cd 0.0000 0.0000 0.0000 1
P1 P 0.0000 0.5000 0.0000 1
C1 C 0.5000 0.5000 0.5000 1
O1 O 0.0000 0.0000 0.5000 1
```

Calculated values
Calculated total energy   -0.108 Ha/atom
Total magnetization   0.69 μB/cell
Volume   20.0 A^3/atom
Energy relative to the elements, uncorrected   11.2 eV/f.u.

=====

# 13
This record from Alexandria via LeMat-Bulk describes crystalline CdPCO2 at its relaxed geometry. The functional is PBE-GGA.

```
data_CdPCO2
_chemical_formula_sum 'Cd1 P1 C1 O2'
_symmetry_space_group_name_H-M 'P 4/m m m'
_symmetry_Int_Tables_number 123
_symmetry_space_group_name_Hall '-P 4 2'
_cell_length_a 3.9451
_cell_length_b 3.9451
_cell_length_c 5.5998
_cell_angle_alpha 90.00
_cell_angle_beta 90.00
_cell_angle_gamma 90.00
loop_
_atom_site_label
_atom_site_type_symbol
_atom_site_fract_x
_atom_site_fract_y
_atom_site_fract_z
_atom_site_occupancy
Cd1 Cd 0.0000 0.0000 0.0000 1
P1 P 0.0000 0.0000 0.5000 1
C1 C 0.5000 0.5000 0.5000 1
O1 O 0.0000 0.5000 0.0000 1
```

Calculated values
Calculated total energy   -0.118 Ha/atom
Total magnetization   1.20 μB/cell
Volume   17.4 A^3/atom
Energy relative to the elements, uncorrected   9.4 eV/f.u.

=====

# 14
This record from Alexandria via LeMat-Bulk describes crystalline CdP2CO at its relaxed geometry. The functional is PBE-GGA.

```
data_CdP2CO
_chemical_formula_sum 'Cd1 P2 C1 O1'
_symmetry_space_group_name_H-M 'P 4/m m m'
_symmetry_Int_Tables_number 123
_symmetry_space_group_name_Hall '-P 4 2'
_cell_length_a 4.0015
_cell_length_b 4.0015
_cell_length_c 4.1360
_cell_angle_alpha 90.00
_cell_angle_beta 90.00
_cell_angle_gamma 90.00
loop_
_atom_site_label
_atom_site_type_symbol
_atom_site_fract_x
_atom_site_fract_y
_atom_site_fract_z
_atom_site_occupancy
Cd1 Cd 0.0000 0.0000 0.0000 1
P1 P 0.0000 0.5000 0.5000 1
C1 C 0.5000 0.5000 0.5000 1
O1 O 0.5000 0.5000 0.0000 1
```

Calculated values
Calculated total energy   -0.152 Ha/atom
Total magnetization   0.00 μB/cell
Volume   13.2 A^3/atom
Energy relative to the elements, uncorrected   5.2 eV/f.u.